# RbLuW2O8 (GGA+U, relaxed)
data_RbLuW2O8
_chemical_formula_sum 'Rb1 Lu1 W2 O8'
_symmetry_space_group_name_H-M 'P -3 m 1'
_symmetry_Int_Tables_number 164
_symmetry_space_group_name_Hall '-P 3 2"'
_cell_length_a 6.0280
_cell_length_b 6.0280
_cell_length_c 7.8831
_cell_angle_alpha 90.00
_cell_angle_beta 90.00
_cell_angle_gamma 120.00
loop_
_atom_site_label
_atom_site_type_symbol
_atom_site_fract_x
_atom_site_fract_y
_atom_site_fract_z
_atom_site_occupancy
Rb1 Rb 0.0000 0.0000 0.0000 1
Lu1 Lu 0.0000 0.0000 0.5000 1
W1 W 0.3333 0.6667 0.2586 1
O1 O 0.1672 0.3344 0.3318 1
O2 O 0.3333 0.6667 0.0333 1
# Total DFT energy (no corrections): -0.2707 hartree per atom

# RbLuW2O8 (GGA+U, relaxed)
data_RbLuW2O8
_chemical_formula_sum 'Rb4 Lu4 W8 O32'
_symmetry_space_group_name_H-M 'C 1 2/c 1'
_symmetry_Int_Tables_number 15
_cell_length_a 11.067
_cell_length_b 10.546
_cell_length_c 7.456
_cell_angle_alpha 90.00
_cell_angle_beta 130.65
_cell_angle_gamma 90.00
loop_
_symmetry_equiv_pos_as_xyz
'x,y,z'
'-x,-y,-z'
'-x,y,-z+1/2'
'x,-y,z+1/2'
'x+1/2,y+1/2,z'
'-x+1/2,-y+1/2,-z'
'-x+1/2,y+1/2,-z+1/2'
'x+1/2,-y+1/2,z+1/2'
loop_
_atom_site_label
_atom_site_type_symbol
_atom_site_fract_x
_atom_site_fract_y
_atom_site_fract_z
_atom_site_occupancy
Rb1 Rb 0.000 0.204 0.250 1
Lu1 Lu 0.000 0.222 0.750 1
W1 W 0.195 0.496 0.709 1
O1 O 0.011 0.387 0.954 1
O2 O 0.144 0.103 0.708 1
O3 O 0.187 0.436 0.438 1
O4 O 0.195 0.147 0.113 1
# Total DFT energy (no corrections): -0.2719 hartree per atom